No. 1
Compound: BaSi2Br8
Source: Alexandria via LeMat-Bulk
Functional: PBE
Structure: relaxed

Cell lengths 7.830, 7.830, 8.265 Å; angles 104.45, 104.45, 58.20 degrees
Element x y z (fractional)
Ba (0.000, 0.000, 0.000)
Si (0.217, 0.217, 0.690)
Si (0.783, 0.783, 0.310)
Br (0.104, 0.637, 0.228)
Br (0.162, 0.162, 0.382)
Br (0.363, 0.896, 0.772)
Br (0.399, 0.399, 0.867)
Br (0.601, 0.601, 0.133)
Br (0.637, 0.104, 0.228)
Br (0.838, 0.838, 0.618)
Br (0.896, 0.363, 0.772)

Output
The calculation puts the density of states at the Fermi level at 0.0 states/eV/cell.


No. 2
Compound: Ba3SiBr2
Source: Alexandria via LeMat-Bulk
Functional: PBE
Structure: relaxed

Cell lengths 8.434, 8.434, 8.460 Å; angles 99.53, 99.53, 119.95 degrees
Element x y z (fractional)
Ba (0.068, 0.425, 0.776)
Ba (0.217, 0.217, 0.222)
Ba (0.425, 0.068, 0.776)
Ba (0.575, 0.932, 0.224)
Ba (0.783, 0.783, 0.778)
Ba (0.932, 0.575, 0.224)
Si (0.167, 0.833, 0.000)
Si (0.833, 0.167, 0.000)
Br (0.000, 0.000, 0.500)
Br (0.340, 0.660, 0.500)
Br (0.500, 0.500, 0.000)
Br (0.660, 0.340, 0.500)

Output
The calculation puts the density of states at the Fermi level at 1.5 states/eV/cell.


No. 3
Compound: BaSiBr
Source: Alexandria via LeMat-Bulk
Functional: PBE
Structure: relaxed

Cell lengths 3.999, 5.069, 10.549 Å; angles 90.00, 90.00, 90.00 degrees
Element x y z (fractional)
Ba (0.000, 0.000, 0.000)
Ba (0.500, 0.500, 0.500)
Si (0.000, 0.000, 0.412)
Si (0.500, 0.500, 0.912)
Br (0.000, 0.000, 0.652)
Br (0.500, 0.500, 0.152)

Output
The calculation puts the density of states at the Fermi level at 3.0 states/eV/cell.


No. 4
Compound: BaSi4Br
Source: Alexandria via LeMat-Bulk
Functional: PBE
Structure: relaxed

Cell lengths 5.641, 5.641, 5.641 Å; angles 60.00, 60.00, 60.00 degrees
Element x y z (fractional)
Ba (0.000, 0.000, 0.000)
Si (0.381, 0.381, 0.381)
Si (0.381, 0.381, 0.857)
Si (0.381, 0.857, 0.381)
Si (0.857, 0.381, 0.381)
Br (0.750, 0.750, 0.750)

Output
The calculation puts the density of states at the Fermi level at 2.2 states/eV/cell.


No. 5
Compound: BaSiBr
Source: Alexandria via LeMat-Bulk
Functional: PBE
Structure: relaxed

Cell lengths 5.463, 5.463, 4.068 Å; angles 90.00, 90.00, 120.00 degrees
Element x y z (fractional)
Ba (0.000, 0.000, 0.000)
Si (0.333, 0.667, 0.526)
Br (0.667, 0.333, 0.180)

Output
The calculation puts the density of states at the Fermi level at 1.7 states/eV/cell.


No. 6
Compound: BaSiBr
Source: Alexandria via LeMat-Bulk
Functional: PBE
Structure: relaxed

Cell lengths 4.099, 4.099, 12.480 Å; angles 90.00, 90.00, 90.00 degrees
Element x y z (fractional)
Ba (0.000, 0.000, 0.000)
Ba (0.500, 0.500, 0.500)
Si (0.000, 0.000, 0.330)
Si (0.500, 0.500, 0.830)
Br (0.000, 0.000, 0.627)
Br (0.500, 0.500, 0.127)

Output
The calculation puts the density of states at the Fermi level at 4.5 states/eV/cell.


No. 7
Compound: BaSiBr
Source: Alexandria via LeMat-Bulk
Functional: PBE
Structure: relaxed

Cell lengths 7.965, 7.965, 7.965 Å; angles 90.00, 90.00, 90.00 degrees
Element x y z (fractional)
Ba (0.000, 0.000, 0.000)
Ba (0.000, 0.500, 0.500)
Ba (0.500, 0.000, 0.500)
Ba (0.500, 0.500, 0.000)
Si (0.250, 0.250, 0.250)
Si (0.250, 0.750, 0.750)
Si (0.750, 0.250, 0.750)
Si (0.750, 0.750, 0.250)
Br (0.250, 0.250, 0.750)
Br (0.250, 0.750, 0.250)
Br (0.750, 0.250, 0.250)
Br (0.750, 0.750, 0.750)


No. 8
Compound: BaSiBr
Source: Alexandria via LeMat-Bulk
Functional: PBE
Structure: relaxed

Cell lengths 7.706, 7.706, 7.706 Å; angles 90.00, 90.00, 90.00 degrees
Element x y z (fractional)
Ba (0.000, 0.000, 0.000)
Ba (0.000, 0.500, 0.500)
Ba (0.500, 0.000, 0.500)
Ba (0.500, 0.500, 0.000)
Si (0.000, 0.000, 0.500)
Si (0.000, 0.500, 0.000)
Si (0.500, 0.000, 0.000)
Si (0.500, 0.500, 0.500)
Br (0.250, 0.250, 0.750)
Br (0.250, 0.750, 0.250)
Br (0.750, 0.250, 0.250)
Br (0.750, 0.750, 0.750)

Output
The calculation puts the density of states at the Fermi level at 10.2 states/eV/cell.


No. 9
Compound: BaSiBr3
Source: Alexandria via LeMat-Bulk
Functional: PBE
Structure: relaxed

Cell lengths 6.263, 6.263, 6.263 Å; angles 90.00, 90.00, 90.00 degrees
Element x y z (fractional)
Ba (0.000, 0.000, 0.000)
Si (0.500, 0.500, 0.500)
Br (0.000, 0.000, 0.500)
Br (0.000, 0.500, 0.000)
Br (0.500, 0.000, 0.000)

Output
The calculation puts the density of states at the Fermi level at 6.2 states/eV/cell. The value obtained for the offset from the most stable computed form is 0.354 eV per atom.


No. 10
Compound: Ba4SiBr5
Source: Alexandria via LeMat-Bulk
Functional: PBE
Structure: relaxed

Cell lengths 10.383, 10.383, 8.418 Å; angles 103.97, 103.97, 27.58 degrees
Element x y z (fractional)
Ba (0.062, 0.062, 0.307)
Ba (0.349, 0.349, 0.206)
Ba (0.651, 0.651, 0.794)
Ba (0.938, 0.938, 0.693)
Si (0.500, 0.500, 0.500)
Br (0.170, 0.170, 0.062)
Br (0.196, 0.196, 0.599)
Br (0.500, 0.500, 0.000)
Br (0.804, 0.804, 0.401)
Br (0.830, 0.830, 0.938)

Output
The calculation puts the density of states at the Fermi level at 3.7 states/eV/cell.


No. 11
Compound: Ba5Si2Br2
Source: Alexandria via LeMat-Bulk
Functional: PBE
Structure: relaxed

Cell lengths 10.372, 10.372, 8.528 Å; angles 90.00, 90.00, 48.56 degrees
Element x y z (fractional)
Ba (0.000, 0.000, 0.000)
Ba (0.054, 0.698, 0.677)
Ba (0.198, 0.554, 0.177)
Ba (0.302, 0.946, 0.677)
Ba (0.446, 0.802, 0.177)
Ba (0.500, 0.500, 0.500)
Ba (0.554, 0.198, 0.823)
Ba (0.698, 0.054, 0.323)
Ba (0.802, 0.446, 0.823)
Ba (0.946, 0.302, 0.323)
Si (0.104, 0.896, 0.396)
Si (0.396, 0.604, 0.896)
Si (0.604, 0.396, 0.104)
Si (0.896, 0.104, 0.604)
Br (0.232, 0.232, 0.000)
Br (0.268, 0.268, 0.500)
Br (0.732, 0.732, 0.500)
Br (0.768, 0.768, 0.000)

Output
The calculation puts the density of states at the Fermi level at 11.7 states/eV/cell.


No. 12
Compound: BaSiBr3
Source: Alexandria via LeMat-Bulk
Functional: PBE
Structure: relaxed

Cell lengths 5.468, 5.468, 5.468 Å; angles 90.00, 90.00, 90.00 degrees
Element x y z (fractional)
Ba (0.000, 0.000, 0.000)
Si (0.500, 0.500, 0.500)
Br (0.000, 0.500, 0.500)
Br (0.500, 0.000, 0.500)
Br (0.500, 0.500, 0.000)

Output
The calculation puts the density of states at the Fermi level at 3.2 states/eV/cell. The value obtained for the offset from the most stable computed form is 0.000 eV per atom.


No. 13
Compound: Ba3SiBr3
Source: Alexandria via LeMat-Bulk
Functional: PBE
Structure: relaxed

Cell lengths 9.013, 9.013, 9.758 Å; angles 102.58, 102.58, 119.26 degrees
Element x y z (fractional)
Ba (0.001, 0.309, 0.270)
Ba (0.309, 0.001, 0.270)
Ba (0.318, 0.318, 0.772)
Ba (0.682, 0.682, 0.228)
Ba (0.691, 0.999, 0.730)
Ba (0.999, 0.691, 0.730)
Si (0.070, 0.070, 0.423)
Si (0.930, 0.930, 0.577)
Br (0.259, 0.259, 0.098)
Br (0.266, 0.734, 0.500)
Br (0.310, 0.690, 0.000)
Br (0.690, 0.310, 0.000)
Br (0.734, 0.266, 0.500)
Br (0.741, 0.741, 0.902)

Output
The calculation puts the density of states at the Fermi level at 6.8 states/eV/cell.


No. 14
Compound: BaSiBr
Source: Alexandria via LeMat-Bulk
Functional: PBE
Structure: relaxed

Cell lengths 7.730, 7.730, 7.730 Å; angles 90.00, 90.00, 90.00 degrees
Element x y z (fractional)
Ba (0.000, 0.000, 0.000)
Ba (0.000, 0.500, 0.500)
Ba (0.500, 0.000, 0.500)
Ba (0.500, 0.500, 0.000)
Si (0.250, 0.250, 0.250)
Si (0.250, 0.750, 0.750)
Si (0.750, 0.250, 0.750)
Si (0.750, 0.750, 0.250)
Br (0.000, 0.000, 0.500)
Br (0.000, 0.500, 0.000)
Br (0.500, 0.000, 0.000)
Br (0.500, 0.500, 0.500)

Output
The calculation puts the density of states at the Fermi level at 18.0 states/eV/cell.


No. 15
Compound: BaZrSiBr2
Source: Alexandria via LeMat-Bulk
Functional: PBE
Structure: relaxed

Cell lengths 5.190, 5.190, 7.968 Å; angles 90.00, 90.00, 90.00 degrees
Element x y z (fractional)
Ba (0.000, 0.000, 0.000)
Zr (0.000, 0.000, 0.500)
Si (0.500, 0.500, 0.000)
Br (0.000, 0.500, 0.500)
Br (0.500, 0.000, 0.500)

Output
The calculation puts the density of states at the Fermi level at 2.5 states/eV/cell.


No. 16
Compound: BaSmBr
Source: Alexandria via LeMat-Bulk
Functional: PBE
Structure: relaxed

Cell lengths 3.976, 3.976, 32.620 Å; angles 90.00, 90.00, 120.00 degrees
Element x y z (fractional)
Ba (0.333, 0.667, 0.283)
Ba (0.333, 0.667, 0.439)
Ba (0.667, 0.333, 0.561)
Ba (0.667, 0.333, 0.717)
Sm (0.333, 0.667, 0.818)
Sm (0.333, 0.667, 0.957)
Sm (0.667, 0.333, 0.043)
Sm (0.667, 0.333, 0.182)
Br (0.333, 0.667, 0.113)
Br (0.333, 0.667, 0.638)
Br (0.667, 0.333, 0.362)
Br (0.667, 0.333, 0.887)

Output
The calculation puts the density of states at the Fermi level at 15.6 states/eV/cell.


No. 17
Compound: Ba2SmBr6
Source: Alexandria via LeMat-Bulk
Functional: PBE
Structure: relaxed

Cell lengths 7.602, 7.602, 13.378 Å; angles 90.00, 90.00, 90.00 degrees
Element x y z (fractional)
Ba (0.000, 0.000, 0.177)
Ba (0.000, 0.000, 0.823)
Ba (0.500, 0.500, 0.323)
Ba (0.500, 0.500, 0.677)
Sm (0.000, 0.000, 0.500)
Sm (0.500, 0.500, 0.000)
Br (0.203, 0.203, 0.353)
Br (0.203, 0.203, 0.647)
Br (0.224, 0.224, 0.000)
Br (0.276, 0.724, 0.500)
Br (0.297, 0.703, 0.147)
Br (0.297, 0.703, 0.853)
Br (0.703, 0.297, 0.147)
Br (0.703, 0.297, 0.853)
Br (0.724, 0.276, 0.500)
Br (0.776, 0.776, 0.000)
Br (0.797, 0.797, 0.353)
Br (0.797, 0.797, 0.647)

Output
The calculation puts the density of states at the Fermi level at 1.1 states/eV/cell.


No. 18
Compound: Ba2SmBr
Source: Alexandria via LeMat-Bulk
Functional: PBE
Structure: relaxed

Cell lengths 3.986, 3.986, 37.176 Å; angles 90.00, 90.00, 120.00 degrees
Element x y z (fractional)
Ba (0.000, 0.000, 0.100)
Ba (0.000, 0.000, 0.900)
Ba (0.333, 0.667, 0.567)
Ba (0.333, 0.667, 0.767)
Ba (0.667, 0.333, 0.233)
Ba (0.667, 0.333, 0.433)
Sm (0.000, 0.000, 0.000)
Sm (0.333, 0.667, 0.667)
Sm (0.667, 0.333, 0.333)
Br (0.000, 0.000, 0.500)
Br (0.333, 0.667, 0.167)
Br (0.667, 0.333, 0.833)

Output
The calculation puts the density of states at the Fermi level at 16.9 states/eV/cell.


No. 19
Compound: BaSnBr3
Source: Alexandria via LeMat-Bulk
Functional: PBE
Structure: relaxed

Cell lengths 5.862, 5.862, 5.862 Å; angles 90.00, 90.00, 90.00 degrees
Element x y z (fractional)
Ba (0.000, 0.000, 0.000)
Sn (0.500, 0.500, 0.500)
Br (0.000, 0.500, 0.500)
Br (0.500, 0.000, 0.500)
Br (0.500, 0.500, 0.000)

Output
The calculation puts the density of states at the Fermi level at 4.5 states/eV/cell.


No. 20
Compound: Ba3SnBr
Source: Alexandria via LeMat-Bulk
Functional: PBE
Structure: relaxed

Cell lengths 9.303, 5.003, 9.920 Å; angles 90.00, 99.14, 90.00 degrees
Element x y z (fractional)
Ba (0.100, 0.250, 0.291)
Ba (0.307, 0.250, 0.969)
Ba (0.397, 0.750, 0.625)
Ba (0.603, 0.250, 0.375)
Ba (0.693, 0.750, 0.031)
Ba (0.900, 0.750, 0.709)
Sn (0.357, 0.750, 0.232)
Sn (0.643, 0.250, 0.768)
Br (0.133, 0.250, 0.632)
Br (0.867, 0.750, 0.368)

Output
The calculation puts the density of states at the Fermi level at 4.4 states/eV/cell. The value obtained for the offset from the most stable computed form is 0.000 eV per atom.


No. 21
Compound: Ba2SnBr
Source: Alexandria via LeMat-Bulk
Functional: PBE
Structure: relaxed

Cell lengths 8.530, 8.530, 8.530 Å; angles 90.00, 90.00, 90.00 degrees
Element x y z (fractional)
Ba (0.250, 0.250, 0.250)
Ba (0.250, 0.250, 0.750)
Ba (0.250, 0.750, 0.250)
Ba (0.250, 0.750, 0.750)
Ba (0.750, 0.250, 0.250)
Ba (0.750, 0.250, 0.750)
Ba (0.750, 0.750, 0.250)
Ba (0.750, 0.750, 0.750)
Sn (0.000, 0.000, 0.000)
Sn (0.000, 0.500, 0.500)
Sn (0.500, 0.000, 0.500)
Sn (0.500, 0.500, 0.000)
Br (0.000, 0.000, 0.500)
Br (0.000, 0.500, 0.000)
Br (0.500, 0.000, 0.000)
Br (0.500, 0.500, 0.500)

Output
The calculation puts the density of states at the Fermi level at 20.5 states/eV/cell. The value obtained for the offset from the most stable computed form is 0.181 eV per atom.


No. 22
Compound: Ba6SnBr5
Source: Alexandria via LeMat-Bulk
Functional: PBE
Structure: relaxed

Cell lengths 8.352, 8.352, 8.401 Å; angles 99.54, 99.54, 119.99 degrees
Element x y z (fractional)
Ba (0.082, 0.412, 0.247)
Ba (0.248, 0.248, 0.754)
Ba (0.412, 0.082, 0.247)
Ba (0.588, 0.918, 0.753)
Ba (0.752, 0.752, 0.246)
Ba (0.918, 0.588, 0.753)
Sn (0.000, 0.000, 0.000)
Br (0.163, 0.837, 0.500)
Br (0.333, 0.667, 0.000)
Br (0.500, 0.500, 0.500)
Br (0.667, 0.333, 0.000)
Br (0.837, 0.163, 0.500)

Output
The calculation puts the density of states at the Fermi level at 5.5 states/eV/cell.


No. 23
Compound: Ba2SnBr8
Source: Alexandria via LeMat-Bulk
Functional: PBE
Structure: relaxed

Cell lengths 9.814, 9.814, 7.297 Å; angles 107.38, 107.38, 34.55 degrees
Element x y z (fractional)
Ba (0.152, 0.152, 0.114)
Ba (0.848, 0.848, 0.886)
Sn (0.500, 0.500, 0.500)
Br (0.003, 0.003, 0.270)
Br (0.236, 0.236, 0.771)
Br (0.381, 0.381, 0.624)
Br (0.394, 0.394, 0.151)
Br (0.606, 0.606, 0.849)
Br (0.619, 0.619, 0.376)
Br (0.764, 0.764, 0.229)
Br (0.997, 0.997, 0.730)


No. 24
Compound: Ba2SnBr
Source: Alexandria via LeMat-Bulk
Functional: PBE
Structure: relaxed

Cell lengths 4.061, 4.061, 9.021 Å; angles 90.00, 90.00, 90.00 degrees
Element x y z (fractional)
Ba (0.000, 0.000, 0.240)
Ba (0.000, 0.000, 0.760)
Sn (0.500, 0.500, 0.000)
Br (0.500, 0.500, 0.500)

Output
The calculation puts the density of states at the Fermi level at 1.5 states/eV/cell. The value obtained for the offset from the most stable computed form is 0.043 eV per atom.


No. 25
Compound: Ba2SnBr
Source: Alexandria via LeMat-Bulk
Functional: PBE
Structure: relaxed

Cell lengths 4.836, 4.836, 25.757 Å; angles 90.00, 90.00, 120.00 degrees
Element x y z (fractional)
Ba (0.000, 0.000, 0.248)
Ba (0.000, 0.000, 0.752)
Ba (0.333, 0.667, 0.419)
Ba (0.333, 0.667, 0.915)
Ba (0.667, 0.333, 0.085)
Ba (0.667, 0.333, 0.581)
Sn (0.000, 0.000, 0.500)
Sn (0.333, 0.667, 0.167)
Sn (0.667, 0.333, 0.833)
Br (0.000, 0.000, 0.000)
Br (0.333, 0.667, 0.667)
Br (0.667, 0.333, 0.333)

Output
The calculation puts the density of states at the Fermi level at 8.7 states/eV/cell. The value obtained for the offset from the most stable computed form is 0.057 eV per atom.


Number 1: formation energy from raw total energies -9.5 eV/f.u.. Number 2: formation energy from raw total energies -7.8 eV/f.u.. Number 3: formation energy from raw total energies -1.3 eV/f.u.. Number 4: formation energy from raw total energies 0.5 eV/f.u.. Number 5: formation energy from raw total energies -0.7 eV/f.u.. Number 6: formation energy from raw total energies -0.9 eV/f.u.. Number 7: formation energy from raw total energies -0.9 eV/f.u.. Number 8: formation energy from raw total energies -0.5 eV/f.u.. Number 9: formation energy from raw total energies -2.4 eV/f.u.. Number 10: formation energy from raw total energies -16.5 eV/f.u.. Number 11: formation energy from raw total energies -7.7 eV/f.u.. Number 12: formation energy from raw total energies -4.2 eV/f.u.. Number 13: formation energy from raw total energies -9.5 eV/f.u.. Number 14: formation energy from raw total energies -0.3 eV/f.u.. Number 15: formation energy from raw total energies 0.0 eV/f.u.. Number 16: formation energy from raw total energies -2.3 eV/f.u.. Number 17: formation energy from raw total energies -17.1 eV/f.u.. Number 18: formation energy from raw total energies -1.7 eV/f.u.. Number 19: formation energy from raw total energies -4.8 eV/f.u.. Number 20: formation energy from raw total energies -4.9 eV/f.u.. Number 21: formation energy from raw total energies -4.0 eV/f.u.. Number 22: formation energy from raw total energies -17.9 eV/f.u.. Number 23: formation energy from raw total energies -14.3 eV/f.u.. Number 24: formation energy from raw total energies -4.5 eV/f.u.. Number 25: formation energy from raw total energies -4.5 eV/f.u..